Record 1
This record from Alexandria via LeMat-Bulk describes crystalline CuIrAu2 at its relaxed geometry. The functional is GGA-PBEsol.

- Calculated total energy: -20.9 eV per formula unit
- DFT formation energy: 0.28 eV per atom
- Crystal system: monoclinic
- E above lowest polymorph: 79 meV/atom
- Volume: 15.00 Å³/atom

a b c (Å): 2.735 4.773 4.876
angles (deg): 99.97 90.00 106.65
Atoms (fractional coordinates):
Cu1 0.000 0.000 0.500
Au1 0.252 0.503 0.253
Au2 0.748 0.497 0.747
Ir1 0.500 0.000 0.000

Record 2
This record from Alexandria via LeMat-Bulk describes crystalline KCuAu2 at its relaxed geometry. The functional is GGA-PBEsol.

- Calculated total energy: -11.7 eV per formula unit
- DFT formation energy: 0.40 eV per atom
- Crystal system: cubic
- E above lowest polymorph: 458 meV/atom
- Volume: 19.46 Å³/atom

a b c (Å): 4.792 4.792 4.792
angles (deg): 60.00 60.00 60.00
Atoms (fractional coordinates):
Au1 0.750 0.750 0.750
Cu1 0.000 0.000 0.000
Au2 0.250 0.250 0.250
K1 0.500 0.500 0.500

Record 3
This record from Alexandria via LeMat-Bulk describes crystalline KCuAu at its relaxed geometry. The functional is GGA-PBEsol.

- Calculated total energy: -9.2 eV per formula unit
- DFT formation energy: 0.08 eV per atom
- Crystal system: orthorhombic
- Volume: 22.72 Å³/atom

a b c (Å): 2.996 4.028 6.181
angles (deg): 109.02 104.03 90.00
Atoms (fractional coordinates):
Au1 0.061 0.061 0.122
Cu1 0.602 0.602 0.204
K1 0.337 0.337 0.674

Record 4
This record from Alexandria via LeMat-Bulk describes crystalline KCuAu2 at its relaxed geometry. The functional is GGA-PBEsol.

- Calculated total energy: -12.0 eV per formula unit
- DFT formation energy: 0.32 eV per atom
- Crystal system: tetragonal
- E above lowest polymorph: 377 meV/atom
- Volume: 18.74 Å³/atom

a b c (Å): 4.163 4.163 5.232
angles (deg): 113.45 113.45 90.00
Atoms (fractional coordinates):
Au1 0.000 0.000 0.000
K1 0.250 0.750 0.500
Cu1 0.500 0.500 0.000
Au2 0.750 0.250 0.500

Record 5
This record from Alexandria via LeMat-Bulk describes crystalline KCuAu2 at its relaxed geometry. The functional is GGA-PBEsol.

- Calculated total energy: -13.6 eV per formula unit
- DFT formation energy: -0.06 eV per atom
- Crystal system: monoclinic
- E above lowest polymorph: 0 meV/atom
- Volume: 25.50 Å³/atom

a b c (Å): 4.522 4.547 6.317
angles (deg): 111.65 90.00 119.81
Atoms (fractional coordinates):
K1 0.747 0.495 0.247
Au1 0.932 0.864 0.793
Au2 0.246 0.492 0.737
Cu1 0.575 0.150 0.723

Record 6
This record from Alexandria via LeMat-Bulk describes crystalline KCuAu2 at its relaxed geometry. The functional is GGA-PBEsol.

- Calculated total energy: -13.1 eV per formula unit
- DFT formation energy: 0.06 eV per atom
- Crystal system: monoclinic
- E above lowest polymorph: 115 meV/atom
- Volume: 21.59 Å³/atom

a b c (Å): 2.827 4.314 7.081
angles (deg): 90.00 89.95 90.00
Atoms (fractional coordinates):
Au1 0.874 0.500 0.334
Cu1 0.374 0.000 0.361
Au2 0.875 0.000 0.048
K1 0.376 0.500 0.757

Record 7
This record from Alexandria via LeMat-Bulk describes crystalline KCuAu2 at its relaxed geometry. The functional is GGA-PBEsol.

- Calculated total energy: -13.2 eV per formula unit
- DFT formation energy: 0.04 eV per atom
- Crystal system: tetragonal
- E above lowest polymorph: 100 meV/atom
- Volume: 19.29 Å³/atom

a b c (Å): 3.092 3.092 8.070
angles (deg): 90.00 90.00 90.00
Atoms (fractional coordinates):
Au1 0.000 0.000 0.184
Au2 0.000 0.000 0.816
K1 0.500 0.500 0.500
Cu1 0.500 0.500 0.000

Record 8
This record from Alexandria via LeMat-Bulk describes crystalline KCu2Au at its relaxed geometry. The functional is GGA-PBEsol.

- Calculated total energy: -11.8 eV per formula unit
- DFT formation energy: 0.48 eV per atom
- Crystal system: tetragonal
- E above lowest polymorph: 209 meV/atom
- Volume: 16.85 Å³/atom

a b c (Å): 2.790 4.916 4.916
angles (deg): 90.00 90.00 90.00
Atoms (fractional coordinates):
K1 0.500 0.500 0.500
Cu1 0.000 0.000 0.500
Cu2 0.000 0.500 0.000
Au1 0.500 0.000 0.000

Question: Number 6 is which compound?
Answer: KCuAu2